Material: BC3
Method: DFT, GGA-PBE
State: relaxed

abc: 3.6378 3.7356 5.8064
angles: 108.56 91.15 90.29
Positions (direct):
B 0.0000 0.0000 0.0000
B 0.2290 0.4483 0.4857
B 0.6795 0.5653 0.7859
C 0.2218 0.7765 0.1520
C 0.2271 0.1195 0.8048
C 0.4623 0.4540 0.9912
C 0.4768 0.1106 0.3101
C 0.4841 0.8135 0.6519
C 0.7128 0.2955 0.1539
C 0.7276 0.9517 0.4809
C 0.9649 0.6259 0.3124
C 0.9739 0.2710 0.6445

Computed properties:
- formation energy (meV per atom) = 295.1
- relative energy among the computed polymorphs (eV per atom) = 0.054

Material: Na9TlIn2
Method: DFT, GGA-PBE
State: relaxed

abc: 4.9635 4.9635 14.8500
angles: 90.00 90.00 90.00
Positions (direct):
Na 0.0000 0.0000 0.0000
Na 0.0000 0.0000 0.3343
Na 0.0000 0.0000 0.6657
Na 0.0000 0.5000 0.1688
Na 0.0000 0.5000 0.5000
Na 0.0000 0.5000 0.8312
Na 0.5000 0.0000 0.1688
Na 0.5000 0.0000 0.5000
Na 0.5000 0.0000 0.8312
Tl 0.5000 0.5000 0.0000
In 0.5000 0.5000 0.3342
In 0.5000 0.5000 0.6658

Computed properties:
- formation energy (meV per atom) = -50.1

Material: In6SnI12
Method: DFT, GGA-PBE
State: relaxed

abc: 9.9598 9.9598 9.9598
angles: 69.21 69.21 69.21
Positions (direct):
In 0.0333 0.6717 0.7964
In 0.2036 0.9667 0.3283
In 0.3283 0.2036 0.9667
In 0.6717 0.7964 0.0333
In 0.7964 0.0333 0.6717
In 0.9667 0.3283 0.2036
Sn 0.5000 0.5000 0.5000
I 0.0243 0.3362 0.8649
I 0.1352 0.9757 0.6638
I 0.1660 0.6381 0.4673
I 0.3362 0.8648 0.0243
I 0.3619 0.5327 0.8340
I 0.4673 0.1660 0.6381
I 0.5327 0.8340 0.3619
I 0.6381 0.4673 0.1660
I 0.6638 0.1351 0.9757
I 0.8340 0.3619 0.5327
I 0.8649 0.0243 0.3362
I 0.9757 0.6638 0.1352

Computed properties:
- energy relative to the elements, uncorrected (eV/atom) = -0.3420

Material: SiHgW
Method: DFT, GGA-PBE
State: relaxed

abc: 4.4170 4.4170 3.0967
angles: 90.00 90.00 120.00
Positions (direct):
Si 0.0000 0.0000 0.0000
Hg 0.3333 0.6667 0.5000
W 0.6667 0.3333 0.0000

Computed properties:
- relative energy among the computed polymorphs (eV per atom) = 0.188
- energy relative to the elements, uncorrected (eV/atom) = 0.6915

| no. | total moment (μB/cell) |
| --- | --- |
| 1 | 0.0 |
| 2 | 0.0 |
| 3 | 0.0 |
| 4 | 0.0 |